## Ca2Tl2Pb (GGA-PBE)

Data for a geometry-optimized Ca2Tl2Pb structure.

Cell lengths 8.695, 8.695, 4.056 Å; angles 90.00, 90.00, 90.00 degrees
Fractional positions:
1 Tl 0.870 0.630 0.000
2 Ca 0.669 0.831 0.500
3 Tl 0.630 0.130 0.000
4 Pb 0.000 0.000 0.000
5 Pb 0.500 0.500 0.000
6 Tl 0.130 0.370 0.000
7 Ca 0.831 0.331 0.500
8 Ca 0.169 0.669 0.500
9 Tl 0.370 0.870 0.000
10 Ca 0.331 0.169 0.500

Its uncorrected energy is -2.82 eV/atom. The calculation puts the offset from the most stable computed form at 0.0 meV per atom. The calculation puts the total magnetization at 0.000 μB per atom. The value obtained for the density of states at the Fermi level is 2.804 states/eV/f.u.